The following is a DFT calculation (PBE) of crystalline YInSe2 at its relaxed geometry.

```
data_YInSe2
_chemical_formula_sum 'Y3 In3 Se6'
_cell_length_a 4.1254
_cell_length_b 4.1254
_cell_length_c 26.4683
_cell_angle_alpha 90.00
_cell_angle_beta 90.00
_cell_angle_gamma 120.00
_space_group_name_H-M_alt 'R 3 m'
_space_group_IT_number 160
_space_group_name_Hall 'R 3 -2"'
loop_
_atom_site_label
_atom_site_type_symbol
_atom_site_fract_x
_atom_site_fract_y
_atom_site_fract_z
Y1 Y 0.0000 0.0000 0.0000
In1 In 0.0000 0.0000 0.7594
Se1 Se 0.0000 0.0000 0.2819
Se2 Se 0.0000 0.0000 0.4761
```

Calculated values
**Formation energy (no corrections)**: -0.960 eV/atom
**Uncorrected energy**: -60.04 eV per cell



The following is a DFT calculation (PBE) of crystalline MnTeP2Cl at its relaxed geometry.

```
data_MnTeP2Cl
_chemical_formula_sum 'Mn1 Te1 P2 Cl1'
_cell_length_a 4.507
_cell_length_b 4.507
_cell_length_c 4.587
_cell_angle_alpha 90.00
_cell_angle_beta 90.00
_cell_angle_gamma 90.00
_space_group_name_H-M_alt 'P 4/m m m'
_space_group_IT_number 123
_space_group_name_Hall '-P 4 2'
loop_
_atom_site_label
_atom_site_type_symbol
_atom_site_fract_x
_atom_site_fract_y
_atom_site_fract_z
Mn1 Mn 0.000 0.000 0.000
Te1 Te 0.500 0.500 0.500
P1 P 0.000 0.500 0.000
Cl1 Cl 0.000 0.000 0.500
```

Calculated values
**Formation energy (no corrections)**: 0.338 eV/atom
**Uncorrected energy**: -23.29 eV per cell
**E above lowest polymorph**: 0.0000 eV/atom



The following is a DFT calculation (PBE) of crystalline Be2Te at its relaxed geometry.

```
data_Be2Te
_chemical_formula_sum 'Be2 Te1'
_cell_length_a 3.7980
_cell_length_b 3.7980
_cell_length_c 3.7223
_cell_angle_alpha 90.00
_cell_angle_beta 90.00
_cell_angle_gamma 120.00
_space_group_name_H-M_alt 'P 6/m m m'
_space_group_IT_number 191
_space_group_name_Hall '-P 6 2'
loop_
_atom_site_label
_atom_site_type_symbol
_atom_site_fract_x
_atom_site_fract_y
_atom_site_fract_z
Be1 Be 0.3333 0.6667 0.0000
Te1 Te 0.0000 0.0000 0.5000
```

Calculated values
**Formation energy (no corrections)**: 0.611 eV/atom
**Uncorrected energy**: -8.76 eV per cell
**E above lowest polymorph**: 0.5894 eV/atom



The following is a DFT calculation (PBE) of crystalline SrVAu at its relaxed geometry.

```
data_SrVAu
_chemical_formula_sum 'Sr2 V2 Au2'
_cell_length_a 3.391
_cell_length_b 4.134
_cell_length_c 10.516
_cell_angle_alpha 93.28
_cell_angle_beta 98.61
_cell_angle_gamma 93.59
_space_group_name_H-M_alt 'P 1'
_space_group_IT_number 1
_space_group_name_Hall 'P 1'
loop_
_atom_site_label
_atom_site_type_symbol
_atom_site_fract_x
_atom_site_fract_y
_atom_site_fract_z
Sr1 Sr 0.000 0.000 0.000
Sr2 Sr 0.178 0.068 0.379
V1 V 0.321 0.470 0.777
V2 V 0.438 0.066 0.708
Au1 Au 0.587 0.533 0.187
Au2 Au 0.779 0.592 0.574
```

Calculated values
**Uncorrected energy**: -27.96 eV per cell
**ΔH_f (0 K)**: 0.033 eV per atom
**E above lowest polymorph**: 0.0630 eV/atom



The following is a DFT calculation (PBE) of crystalline ScInHg2 at its relaxed geometry.

```
data_ScInHg2
_chemical_formula_sum 'Sc2 In2 Hg4'
_cell_length_a 3.735
_cell_length_b 4.980
_cell_length_c 10.356
_cell_angle_alpha 90.03
_cell_angle_beta 100.32
_cell_angle_gamma 90.00
_space_group_name_H-M_alt 'P -1'
_space_group_IT_number 2
_space_group_name_Hall '-P 1'
loop_
_atom_site_label
_atom_site_type_symbol
_atom_site_fract_x
_atom_site_fract_y
_atom_site_fract_z
Sc1 Sc 0.066 0.249 0.133
In1 In 0.173 0.750 0.345
Hg1 Hg 0.319 0.750 0.634
Hg2 Hg 0.451 0.251 0.901
```

Calculated values
**Uncorrected energy**: -21.01 eV per cell
**ΔH_f (0 K)**: -0.208 eV per atom



The following is a DFT calculation (PBE) of crystalline NdThTePt at its relaxed geometry.

```
data_NdThTePt
_chemical_formula_sum 'Nd3 Th3 Te3 Pt3'
_cell_length_a 4.2281
_cell_length_b 4.2281
_cell_length_c 23.3132
_cell_angle_alpha 90.00
_cell_angle_beta 90.00
_cell_angle_gamma 120.00
_space_group_name_H-M_alt 'R 3 m'
_space_group_IT_number 160
_space_group_name_Hall 'R 3 -2"'
loop_
_atom_site_label
_atom_site_type_symbol
_atom_site_fract_x
_atom_site_fract_y
_atom_site_fract_z
Nd1 Nd 0.0000 0.0000 0.0000
Th1 Th 0.0000 0.0000 0.1922
Te1 Te 0.0000 0.0000 0.7631
Pt1 Pt 0.0000 0.0000 0.5913
```

Calculated values
**Formation energy (no corrections)**: -1.200 eV/atom
**Uncorrected energy**: -78.51 eV per cell



The following is a DFT calculation (PBE) of crystalline AlSiMo at its relaxed geometry.

```
data_AlSiMo
_chemical_formula_sum 'Al3 Si3 Mo3'
_cell_length_a 4.7525
_cell_length_b 4.7525
_cell_length_c 6.6166
_cell_angle_alpha 90.00
_cell_angle_beta 90.00
_cell_angle_gamma 120.00
_space_group_name_H-M_alt 'P 32 1 2'
_space_group_IT_number 153
_space_group_name_Hall 'P 32 2 (0 0 2)'
loop_
_atom_site_label
_atom_site_type_symbol
_atom_site_fract_x
_atom_site_fract_y
_atom_site_fract_z
Al1 Al 0.9996 0.4998 0.0000
Si1 Si 0.3431 0.1715 0.0000
Mo1 Mo 0.1612 0.3223 0.3333
```

Calculated values
**Formation energy (no corrections)**: -0.422 eV/atom
**Uncorrected energy**: -63.79 eV per cell



The following is a DFT calculation (PBE) of crystalline Lu2TiIn at its relaxed geometry.

```
data_Lu2TiIn
_chemical_formula_sum 'Lu8 Ti4 In4'
_cell_length_a 7.294
_cell_length_b 7.294
_cell_length_c 7.294
_cell_angle_alpha 90.00
_cell_angle_beta 90.00
_cell_angle_gamma 90.00
_space_group_name_H-M_alt 'F m -3 m'
_space_group_IT_number 225
_space_group_name_Hall '-F 4 2 3'
loop_
_atom_site_label
_atom_site_type_symbol
_atom_site_fract_x
_atom_site_fract_y
_atom_site_fract_z
Lu1 Lu 0.250 0.250 0.250
Ti1 Ti 0.000 0.000 0.000
In1 In 0.000 0.000 0.500
```

Calculated values
**Uncorrected energy**: -80.08 eV per cell
**ΔH_f (0 K)**: -0.086 eV per atom
**E above lowest polymorph**: 0.0424 eV/atom